Entry 1:
# Pu4CuPt3

A geometry-optimized Pu4CuPt3 structure (PBE, the Alexandria database).

```
data_Pu4CuPt3
_chemical_formula_sum 'Pu4 Cu1 Pt3'
_space_group_name_H-M_alt 'P 1'
_space_group_IT_number 1
_cell_length_a 2.9510
_cell_length_b 5.3481
_cell_length_c 10.6927
_cell_angle_alpha 90.00
_cell_angle_beta 90.00
_cell_angle_gamma 90.00
loop_
_space_group_symop_operation_xyz
'x,y,z'
loop_
_atom_site_label
_atom_site_type_symbol
_atom_site_fract_x
_atom_site_fract_y
_atom_site_fract_z
Pu1 Pu 0.0000 0.0000 0.0000
Pu2 Pu 0.0000 0.0000 0.5000
Pu3 Pu 0.0000 0.5000 0.2495
Pu4 Pu 0.0000 0.5000 0.7505
Cu1 Cu 0.5000 0.5000 0.5000
Pt1 Pt 0.5000 0.0000 0.2508
Pt2 Pt 0.5000 0.0000 0.7492
Pt3 Pt 0.5000 0.5000 0.0000
```

Summary:
**Total magnetization**: 11.6 μB/f.u.
**Formation energy**: -0.52 eV per atom


Entry 2:
# Pu2CuPt

A geometry-optimized Pu2CuPt structure (PBE, the Alexandria database).

```
data_Pu2CuPt
_chemical_formula_sum 'Pu2 Cu1 Pt1'
_space_group_name_H-M_alt 'P 1'
_space_group_IT_number 1
_cell_length_a 3.7439
_cell_length_b 3.7439
_cell_length_c 5.9825
_cell_angle_alpha 90.00
_cell_angle_beta 90.00
_cell_angle_gamma 90.00
loop_
_space_group_symop_operation_xyz
'x,y,z'
loop_
_atom_site_label
_atom_site_type_symbol
_atom_site_fract_x
_atom_site_fract_y
_atom_site_fract_z
Pu1 Pu 0.0000 0.0000 0.2466
Pu2 Pu 0.0000 0.0000 0.7534
Cu1 Cu 0.5000 0.5000 0.5000
Pt1 Pt 0.5000 0.5000 0.0000
```

Summary:
**Total magnetization**: 11.6 μB/f.u.
**Formation energy**: -0.33 eV per atom


Entry 3:
# Pu3CuPt3

A geometry-optimized Pu3CuPt3 structure (PBE, the Alexandria database).

```
data_Pu3CuPt3
_chemical_formula_sum 'Pu6 Cu2 Pt6'
_space_group_name_H-M_alt 'P 1'
_space_group_IT_number 1
_cell_length_a 8.0735
_cell_length_b 8.0735
_cell_length_c 4.9696
_cell_angle_alpha 90.00
_cell_angle_beta 90.00
_cell_angle_gamma 120.00
loop_
_space_group_symop_operation_xyz
'x,y,z'
loop_
_atom_site_label
_atom_site_type_symbol
_atom_site_fract_x
_atom_site_fract_y
_atom_site_fract_z
Pu1 Pu 0.0812 0.6390 0.2500
Pu2 Pu 0.3610 0.4423 0.2500
Pu3 Pu 0.4423 0.0812 0.7500
Pu4 Pu 0.5577 0.9188 0.2500
Pu5 Pu 0.6390 0.5577 0.7500
Pu6 Pu 0.9188 0.3610 0.7500
Cu1 Cu 0.3333 0.6667 0.7500
Cu2 Cu 0.6667 0.3333 0.2500
Pt1 Pt 0.0468 0.8130 0.7500
Pt2 Pt 0.1870 0.2338 0.7500
Pt3 Pt 0.2338 0.0468 0.2500
Pt4 Pt 0.7662 0.9532 0.7500
Pt5 Pt 0.8130 0.7662 0.2500
Pt6 Pt 0.9532 0.1870 0.2500
```

Summary:
**Total magnetization**: 16.0 μB/f.u.
**Energy above the most stable polymorph in this dataset**: 214 meV per atom
**Formation energy**: -0.43 eV per atom


Entry 4:
# Pu2Cu3Pt

A geometry-optimized Pu2Cu3Pt structure (PBE, the Alexandria database).

```
data_Pu2Cu3Pt
_chemical_formula_sum 'Pu2 Cu3 Pt1'
_space_group_name_H-M_alt 'P 1'
_space_group_IT_number 1
_cell_length_a 5.2491
_cell_length_b 5.2491
_cell_length_c 5.3341
_cell_angle_alpha 119.42
_cell_angle_beta 119.42
_cell_angle_gamma 60.07
loop_
_space_group_symop_operation_xyz
'x,y,z'
loop_
_atom_site_label
_atom_site_type_symbol
_atom_site_fract_x
_atom_site_fract_y
_atom_site_fract_z
Pu1 Pu 0.1265 0.1265 0.3792
Pu2 Pu 0.8735 0.8735 0.6208
Cu1 Cu 0.0000 0.5000 0.0000
Cu2 Cu 0.5000 0.0000 0.0000
Cu3 Cu 0.5000 0.5000 0.0000
Pt1 Pt 0.5000 0.5000 0.5000
```

Summary:
**Total magnetization**: 11.9 μB/f.u.
**Formation energy**: -0.28 eV per atom


Entry 5:
# Pu2CuPt9

A geometry-optimized Pu2CuPt9 structure (PBE, the Alexandria database).

```
data_Pu2CuPt9
_chemical_formula_sum 'Pu2 Cu1 Pt9'
_space_group_name_H-M_alt 'P 1'
_space_group_IT_number 1
_cell_length_a 4.1015
_cell_length_b 4.1015
_cell_length_c 12.1019
_cell_angle_alpha 90.00
_cell_angle_beta 90.00
_cell_angle_gamma 90.00
loop_
_space_group_symop_operation_xyz
'x,y,z'
loop_
_atom_site_label
_atom_site_type_symbol
_atom_site_fract_x
_atom_site_fract_y
_atom_site_fract_z
Pu1 Pu 0.0000 0.0000 0.1763
Pu2 Pu 0.0000 0.0000 0.8237
Cu1 Cu 0.0000 0.0000 0.5000
Pt1 Pt 0.0000 0.5000 0.0000
Pt2 Pt 0.0000 0.5000 0.3469
Pt3 Pt 0.0000 0.5000 0.6531
Pt4 Pt 0.5000 0.0000 0.0000
Pt5 Pt 0.5000 0.0000 0.3469
Pt6 Pt 0.5000 0.0000 0.6531
Pt7 Pt 0.5000 0.5000 0.1735
Pt8 Pt 0.5000 0.5000 0.5000
Pt9 Pt 0.5000 0.5000 0.8265
```

Summary:
**Total magnetization**: 8.0 μB/f.u.
**Formation energy**: -0.48 eV per atom


Entry 6:
# PuCuPt

A geometry-optimized PuCuPt structure (PBE, the Alexandria database).

```
data_PuCuPt
_chemical_formula_sum 'Pu2 Cu2 Pt2'
_space_group_name_H-M_alt 'P 1'
_space_group_IT_number 1
_cell_length_a 5.3467
_cell_length_b 5.3467
_cell_length_c 5.3467
_cell_angle_alpha 122.38
_cell_angle_beta 117.34
_cell_angle_gamma 90.31
loop_
_space_group_symop_operation_xyz
'x,y,z'
loop_
_atom_site_label
_atom_site_type_symbol
_atom_site_fract_x
_atom_site_fract_y
_atom_site_fract_z
Pu1 Pu 0.3784 0.1284 0.2500
Pu2 Pu 0.6216 0.8716 0.7500
Cu1 Cu 0.0000 0.0000 0.5000
Cu2 Cu 0.0000 0.5000 0.0000
Pt1 Pt 0.0000 0.5000 0.5000
Pt2 Pt 0.5000 0.5000 0.0000
```

Summary:
**Total magnetization**: 5.8 μB/f.u.
**Energy above the most stable polymorph in this dataset**: 0 meV per atom
**Formation energy**: -0.53 eV per atom


Entry 7:
# Pu2CuPt

A geometry-optimized Pu2CuPt structure (PBE, the Alexandria database).

```
data_Pu2CuPt
_chemical_formula_sum 'Pu4 Cu2 Pt2'
_space_group_name_H-M_alt 'P 1'
_space_group_IT_number 1
_cell_length_a 6.6814
_cell_length_b 3.5090
_cell_length_c 6.7989
_cell_angle_alpha 90.00
_cell_angle_beta 114.78
_cell_angle_gamma 90.00
loop_
_space_group_symop_operation_xyz
'x,y,z'
loop_
_atom_site_label
_atom_site_type_symbol
_atom_site_fract_x
_atom_site_fract_y
_atom_site_fract_z
Pu1 Pu 0.2237 0.2500 0.1085
Pu2 Pu 0.2706 0.7500 0.8696
Pu3 Pu 0.7294 0.2500 0.1304
Pu4 Pu 0.7763 0.7500 0.8915
Cu1 Cu 0.4369 0.2500 0.6004
Cu2 Cu 0.5631 0.7500 0.3996
Pt1 Pt 0.1179 0.7500 0.3955
Pt2 Pt 0.8821 0.2500 0.6045
```

Summary:
**Total magnetization**: 0.1 μB/f.u.
**Formation energy**: -0.23 eV per atom


Entry 8:
# Pu3CuPt2

A geometry-optimized Pu3CuPt2 structure (PBE, the Alexandria database).

```
data_Pu3CuPt2
_chemical_formula_sum 'Pu12 Cu4 Pt8'
_space_group_name_H-M_alt 'P 1'
_space_group_IT_number 1
_cell_length_a 11.6002
_cell_length_b 4.2778
_cell_length_c 10.7944
_cell_angle_alpha 90.00
_cell_angle_beta 90.00
_cell_angle_gamma 90.00
loop_
_space_group_symop_operation_xyz
'x,y,z'
loop_
_atom_site_label
_atom_site_type_symbol
_atom_site_fract_x
_atom_site_fract_y
_atom_site_fract_z
Pu1 Pu 0.0459 0.2500 0.1232
Pu2 Pu 0.1330 0.7500 0.5726
Pu3 Pu 0.2151 0.2500 0.8013
Pu4 Pu 0.2849 0.7500 0.3013
Pu5 Pu 0.3670 0.2500 0.0726
Pu6 Pu 0.4541 0.7500 0.6232
Pu7 Pu 0.5459 0.2500 0.3768
Pu8 Pu 0.6330 0.7500 0.9274
Pu9 Pu 0.7151 0.2500 0.6987
Pu10 Pu 0.7849 0.7500 0.1987
Pu11 Pu 0.8670 0.2500 0.4274
Pu12 Pu 0.9541 0.7500 0.8768
Cu1 Cu 0.1248 0.2500 0.3831
Cu2 Cu 0.3752 0.7500 0.8831
Cu3 Cu 0.6248 0.2500 0.1169
Cu4 Cu 0.8752 0.7500 0.6169
Pt1 Pt 0.0153 0.7500 0.3159
Pt2 Pt 0.1828 0.7500 0.0048
Pt3 Pt 0.3172 0.2500 0.5048
Pt4 Pt 0.4847 0.2500 0.8159
Pt5 Pt 0.5153 0.7500 0.1841
Pt6 Pt 0.6828 0.7500 0.4952
Pt7 Pt 0.8172 0.2500 0.9952
Pt8 Pt 0.9847 0.2500 0.6841
```

Summary:
**Total magnetization**: 17.1 μB/f.u.
**Formation energy**: -0.51 eV per atom


Entry 9:
# Pu2CuPt6

A geometry-optimized Pu2CuPt6 structure (PBE, the Alexandria database).

```
data_Pu2CuPt6
_chemical_formula_sum 'Pu2 Cu1 Pt6'
_space_group_name_H-M_alt 'P 1'
_space_group_IT_number 1
_cell_length_a 5.5799
_cell_length_b 5.5799
_cell_length_c 6.0847
_cell_angle_alpha 90.00
_cell_angle_beta 90.00
_cell_angle_gamma 120.00
loop_
_space_group_symop_operation_xyz
'x,y,z'
loop_
_atom_site_label
_atom_site_type_symbol
_atom_site_fract_x
_atom_site_fract_y
_atom_site_fract_z
Pu1 Pu 0.3333 0.6667 0.1388
Pu2 Pu 0.6667 0.3333 0.8612
Cu1 Cu 0.0000 0.0000 0.0000
Pt1 Pt 0.1717 0.3434 0.6851
Pt2 Pt 0.1717 0.8283 0.6851
Pt3 Pt 0.3434 0.1717 0.3149
Pt4 Pt 0.6566 0.8283 0.6851
Pt5 Pt 0.8283 0.1717 0.3149
Pt6 Pt 0.8283 0.6566 0.3149
```

Summary:
**Total magnetization**: 9.2 μB/f.u.
**Energy above the most stable polymorph in this dataset**: 5 meV per atom
**Formation energy**: -0.59 eV per atom


Entry 10:
# Pu3CuPt3

A geometry-optimized Pu3CuPt3 structure (PBE, the Alexandria database).

```
data_Pu3CuPt3
_chemical_formula_sum 'Pu6 Cu2 Pt6'
_space_group_name_H-M_alt 'P 1'
_space_group_IT_number 1
_cell_length_a 5.5897
_cell_length_b 5.5897
_cell_length_c 13.6674
_cell_angle_alpha 90.00
_cell_angle_beta 90.00
_cell_angle_gamma 135.39
loop_
_space_group_symop_operation_xyz
'x,y,z'
loop_
_atom_site_label
_atom_site_type_symbol
_atom_site_fract_x
_atom_site_fract_y
_atom_site_fract_z
Pu1 Pu 0.0241 0.9759 0.7500
Pu2 Pu 0.2965 0.7035 0.6029
Pu3 Pu 0.2965 0.7035 0.8971
Pu4 Pu 0.7035 0.2965 0.1029
Pu5 Pu 0.7035 0.2965 0.3971
Pu6 Pu 0.9759 0.0241 0.2500
Cu1 Cu 0.0000 0.0000 0.0000
Cu2 Cu 0.0000 0.0000 0.5000
Pt1 Pt 0.2533 0.7467 0.2500
Pt2 Pt 0.4194 0.5806 0.0912
Pt3 Pt 0.4194 0.5806 0.4088
Pt4 Pt 0.5806 0.4194 0.5912
Pt5 Pt 0.5806 0.4194 0.9088
Pt6 Pt 0.7467 0.2533 0.7500
```

Summary:
**Total magnetization**: 16.5 μB/f.u.
**Energy above the most stable polymorph in this dataset**: 0 meV per atom
**Formation energy**: -0.64 eV per atom


Copy entry 4 word for word.
# Pu2Cu3Pt

A geometry-optimized Pu2Cu3Pt structure (PBE, the Alexandria database).

```
data_Pu2Cu3Pt
_chemical_formula_sum 'Pu2 Cu3 Pt1'
_space_group_name_H-M_alt 'P 1'
_space_group_IT_number 1
_cell_length_a 5.2491
_cell_length_b 5.2491
_cell_length_c 5.3341
_cell_angle_alpha 119.42
_cell_angle_beta 119.42
_cell_angle_gamma 60.07
loop_
_space_group_symop_operation_xyz
'x,y,z'
loop_
_atom_site_label
_atom_site_type_symbol
_atom_site_fract_x
_atom_site_fract_y
_atom_site_fract_z
Pu1 Pu 0.1265 0.1265 0.3792
Pu2 Pu 0.8735 0.8735 0.6208
Cu1 Cu 0.0000 0.5000 0.0000
Cu2 Cu 0.5000 0.0000 0.0000
Cu3 Cu 0.5000 0.5000 0.0000
Pt1 Pt 0.5000 0.5000 0.5000
```

Summary:
**Total magnetization**: 11.9 μB/f.u.
**Formation energy**: -0.28 eV per atom


> Which formula does entry 1 have?

Pu4CuPt3